# PmAgTeS

A geometry-optimized PmAgTeS structure (PBE, the Alexandria database).

Summary:
**Raw formation energy**: -431 kJ/mol of formula units
**Spin magnetization**: 0.00 μB/cell

a b c (Å): 4.592 4.592 9.772
angles (deg): 90.00 90.00 90.00
Space group P4/nmm (No. 129, origin choice 2)
One atom of each set of equivalent atoms:
Pm  0.250  0.250  0.156 [2 per cell]
Ag  0.250  0.750  0.500 [2 per cell]
Te  0.250  0.250  0.686 [2 per cell]
S  0.250  0.750  0.000 [2 per cell]



# Li9Br3ClO2

A geometry-optimized Li9Br3ClO2 structure (PBE, the Alexandria database).

Summary:
**Raw formation energy**: -2098 kJ/mol of formula units
**Spin magnetization**: 0.00 μB/cell

a b c (Å): 5.9829 5.9829 7.7123
angles (deg): 90.00 90.00 120.00
Space group P-3m1 (No. 164)
One atom of each set of equivalent atoms:
Li  0.0000  0.5000  0.0000 [3 per cell]
Li  0.1835  0.3669  0.2903 [6 per cell]
Br  0.0000  0.0000  0.0000 [1 per cell]
Br  0.3333  0.6667  0.6920 [2 per cell]
Cl  0.0000  0.0000  0.5000 [1 per cell]
O  0.3333  0.6667  0.1467 [2 per cell]



# TiBe2Si2

A geometry-optimized TiBe2Si2 structure (PBE, the Alexandria database).

Summary:
**Raw formation energy**: 25 kJ/mol of formula units
**Spin magnetization**: 0.00 μB/cell

a b c (Å): 6.644 6.644 2.828
angles (deg): 90.00 90.00 90.00
Space group P4/mbm (No. 127)
One atom of each set of equivalent atoms:
Ti  0.000  0.000  0.000 [2 per cell]
Be  0.154  0.346  0.500 [4 per cell]
Si  0.140  0.640  0.000 [4 per cell]



# InAg2Pb

A geometry-optimized InAg2Pb structure (PBE, the Alexandria database).

Summary:
**Spin magnetization**: 0.00 μB/cell
**Energy of formation**: 0.40 eV per formula unit

a b c (Å): 6.002 3.295 9.551
angles (deg): 90.00 101.12 90.00
Space group Cm (No. 8)
One atom of each set of equivalent atoms:
In  0.000  0.000  0.000 [2 per cell]
Ag  0.091  0.500  0.764 [2 per cell]
Ag  0.408  0.000  0.236 [2 per cell]
Pb  0.176  0.000  0.500 [2 per cell]



# AcPm2Ni

A geometry-optimized AcPm2Ni structure (PBE, the Alexandria database).

Summary:
**Spin magnetization**: 0.00 μB/cell
**Energy of formation**: -0.33 eV per formula unit

a b c (Å): 3.612 3.612 9.199
angles (deg): 90.00 90.00 90.00
Space group P4/mmm (No. 123)
One atom of each set of equivalent atoms:
Ac  0.000  0.000  0.000 [1 per cell]
Pm  0.500  0.500  0.325 [2 per cell]
Ni  0.000  0.000  0.500 [1 per cell]



# SrHBr3

A geometry-optimized SrHBr3 structure (PBE, the Alexandria database).

Summary:
**Spin magnetization**: 2.00 μB/cell
**Energy**: -2.59 eV/atom

a b c (Å): 6.059 6.059 6.059
angles (deg): 90.00 90.00 90.00
Space group Pm-3m (No. 221)
One atom of each set of equivalent atoms:
Sr  0.000  0.000  0.000 [1 per cell]
H  0.500  0.500  0.500 [1 per cell]
Br  0.000  0.000  0.500 [3 per cell]



# La2YPd

A geometry-optimized La2YPd structure (PBE, the Alexandria database).

Summary:
**Spin magnetization**: 0.00 μB/cell
**Energy of formation**: -1.68 eV per formula unit

a b c (Å): 7.285 10.354 6.557
angles (deg): 90.00 90.00 90.00
Space group Pnma (No. 62)
One atom of each set of equivalent atoms:
La  0.180  0.061  0.169 [8 per cell]
Y  0.030  0.250  0.655 [4 per cell]
Pd  0.120  0.750  0.931 [4 per cell]



# Ac12OsRu5

A geometry-optimized Ac12OsRu5 structure (PBE, the Alexandria database).

Summary:
**Spin magnetization**: 0.00 μB/cell
**Energy of formation**: -2.70 eV per formula unit

a b c (Å): 7.527 13.032 13.542
angles (deg): 90.00 100.81 90.00
Space group C2/m (No. 12)
One atom of each set of equivalent atoms:
Ac  0.127  0.000  0.384 [4 per cell]
Ac  0.127  0.333  0.384 [8 per cell]
Ac  0.206  0.167  0.116 [8 per cell]
Ac  0.206  0.500  0.116 [4 per cell]
Os  0.000  0.500  0.500 [2 per cell]
Ru  0.000  0.000  0.000 [2 per cell]
Ru  0.000  0.167  0.500 [4 per cell]
Ru  0.000  0.333  0.000 [4 per cell]



# Co2HRuRh

A geometry-optimized Co2HRuRh structure (PBE, the Alexandria database).

Summary:
**Spin magnetization**: 5.97 μB/cell
**Energy**: -4.81 eV/atom

a b c (Å): 4.594 4.594 4.649
angles (deg): 90.00 90.00 90.00
Space group P4/mmm (No. 123)
One atom of each set of equivalent atoms:
Co  0.000  0.500  0.000 [2 per cell]
H  0.000  0.000  0.500 [1 per cell]
Ru  0.500  0.500  0.500 [1 per cell]
Rh  0.500  0.500  0.000 [1 per cell]



# Pm12Pr7Y

A geometry-optimized Pm12Pr7Y structure (PBE, the Alexandria database).

Summary:
**Spin magnetization**: 0.00 μB/cell
**Energy of formation**: 4.31 eV per formula unit

a b c (Å): 12.3354 12.3354 16.2696
angles (deg): 90.00 90.00 120.00
Space group R-3 (No. 148, hexagonal axes)
One atom of each set of equivalent atoms:
Pm  0.0245  0.5768  0.2228 [18 per cell]
Pm  0.0534  0.4652  0.5814 [18 per cell]
Pr  0.0000  0.0000  0.0000 [3 per cell]
Pr  0.0568  0.8693  0.2916 [18 per cell]
Y  0.0000  0.0000  0.5000 [3 per cell]



# K2Cd5In

A geometry-optimized K2Cd5In structure (PBE, the Alexandria database).

Summary:
**Spin magnetization**: 0.00 μB/cell
**Energy of formation**: -0.39 eV per formula unit

a b c (Å): 12.907 6.171 9.084
angles (deg): 90.00 134.20 90.00
Space group Cm (No. 8)
One atom of each set of equivalent atoms:
K  0.000  0.000  0.000 [2 per cell]
K  0.182  0.000  0.686 [2 per cell]
Cd  0.105  0.500  0.436 [2 per cell]
Cd  0.328  0.253  0.495 [4 per cell]
Cd  0.334  0.250  0.173 [4 per cell]
In  0.102  0.500  0.788 [2 per cell]



# NaAcPd

A geometry-optimized NaAcPd structure (PBE, the Alexandria database).

Summary:
**Spin magnetization**: 0.00 μB/cell
**Energy of formation**: -1.00 eV per formula unit

a b c (Å): 4.233 4.233 5.930
angles (deg): 90.00 90.00 90.00
Space group P4/mmm (No. 123)
One atom of each set of equivalent atoms:
Na  0.000  0.000  0.000 [1 per cell]
Ac  0.500  0.500  0.500 [1 per cell]
Pd  0.000  0.000  0.500 [1 per cell]